(1)
Pm3AsP | PBE | optimized geometry

Output
Space group: C2/c (15)

a = 8.093 Å, b = 8.086 Å, c = 8.093 Å
α = 90.00°, β = 94.38°, γ = 90.00°
Sites, in units of the cell vectors:
Pm (0.995, 0.915, 0.190)
Pm (0.494, 0.585, 0.690)
Pm (0.428, 0.195, 0.928)
Pm (0.928, 0.305, 0.428)
Pm (0.810, 0.415, 0.005)
Pm (0.506, 0.415, 0.310)
Pm (0.690, 0.915, 0.494)
Pm (0.072, 0.695, 0.572)
Pm (0.572, 0.805, 0.072)
Pm (0.190, 0.585, 0.995)
Pm (0.310, 0.085, 0.506)
Pm (0.005, 0.085, 0.810)
P (0.808, 0.623, 0.307)
P (0.192, 0.377, 0.693)
P (0.307, 0.877, 0.808)
P (0.693, 0.123, 0.192)
As (0.341, 0.750, 0.341)
As (0.840, 0.750, 0.840)
As (0.160, 0.250, 0.160)
As (0.659, 0.250, 0.659)

=====

(2)
TaTcIr2 | PBE | optimized geometry

Output
Space group: P4mm (99)

a = 2.786 Å, b = 2.786 Å, c = 7.958 Å
α = 90.00°, β = 90.00°, γ = 90.01°
Sites, in units of the cell vectors:
Ta (0.000, 0.000, 0.494)
Ir (0.500, 0.500, 0.246)
Ir (0.000, 0.000, 0.992)
Tc (0.500, 0.500, 0.768)

=====

(3)
La3ZrPb | PBE | optimized geometry

Output
Space group: Pm-3m (221)

a = 6.065 Å, b = 6.065 Å, c = 6.065 Å
α = 90.00°, β = 90.00°, γ = 90.00°
Last column: magnetic moment on the atom in μB.
Sites, in units of the cell vectors:
Zr (0.500, 0.500, 0.500)  1.39
Pb (0.000, 0.000, 0.000)  0.04
La (0.000, 0.500, 0.000)  0.23
La (0.500, 0.000, 0.000)  0.24
La (0.000, 0.000, 0.500)  0.23

=====

Number 1: total magnetic moment 0.00 μB per atom, relative energy among the computed polymorphs 0.0 meV/atom, DFT formation energy -1.07 eV/atom. Number 2: total magnetic moment 0.00 μB per atom, relative energy among the computed polymorphs 309.5 meV/atom, DFT formation energy -0.20 eV/atom. Number 3: total magnetic moment 0.98 μB per atom, relative energy among the computed polymorphs 389.1 meV/atom, DFT formation energy 0.65 eV/atom.